Entry 1:
A relaxed structure of PrSm3Th2Bi6, computed with PBE.

## Properties
calculated formation energy = -0.823 eV/atom
DOS(E_F) = 5.07 states/eV/cell

Lattice parameters (Å, degrees): 4.5911 9.1594 10.2468 102.81 102.95 90.00
With the nearest neighbours (Å) after each atom.
Element x y z (fractional)
Pr 0.5000 0.0000 0.0000  6 Bi 3.27
Sm 0.5000 0.5000 0.0000  6 Bi 3.22-3.24
Sm 0.8347 0.1662 0.6694  6 Bi 3.21-3.24
Sm 0.1653 0.8338 0.3306  6 Bi 3.21-3.24
Th 0.8345 0.6686 0.6690  6 Bi 3.23-3.27
Th 0.1655 0.3314 0.3310  6 Bi 3.23-3.27
Bi 0.3317 0.9174 0.6634  3 Sm 3.23-3.24, 2 Th 3.24, 1 Pr 3.27
Bi 0.6665 0.5848 0.3330  3 Sm 3.24, 3 Th 3.26-3.27
Bi 0.6683 0.0826 0.3366  3 Sm 3.23-3.24, 2 Th 3.24, 1 Pr 3.27
Bi 0.9997 0.2539 0.9994  3 Sm 3.21-3.22, 1 Th 3.23, 2 Pr 3.27
Bi 0.0003 0.7461 0.0006  3 Sm 3.21-3.22, 1 Th 3.23, 2 Pr 3.27
Bi 0.3335 0.4152 0.6670  3 Sm 3.24, 3 Th 3.26-3.27

Entry 2:
A relaxed structure of Pr3SmTh2Bi6, computed with PBE.

## Properties
calculated formation energy = -0.836 eV/atom
DOS(E_F) = 5.22 states/eV/cell

Lattice parameters (Å, degrees): 4.6164 9.2242 10.3204 103.03 102.92 90.00
With the nearest neighbours (Å) after each atom.
Element x y z (fractional)
Pr 0.5000 0.5000 0.0000  6 Bi 3.28-3.29
Pr 0.8338 0.1658 0.6677  6 Bi 3.26-3.30
Pr 0.1662 0.8342 0.3323  6 Bi 3.26-3.30
Sm 0.5000 0.0000 0.0000  6 Bi 3.24
Th 0.8349 0.6688 0.6698  6 Bi 3.22-3.27
Th 0.1651 0.3312 0.3302  6 Bi 3.22-3.27
Bi 0.3346 0.9153 0.6691  1 Sm 3.24, 2 Th 3.24, 3 Pr 3.27-3.30
Bi 0.6678 0.5817 0.3357  3 Th 3.26-3.27, 3 Pr 3.28-3.29
Bi 0.6654 0.0847 0.3309  1 Sm 3.24, 2 Th 3.24, 3 Pr 3.27-3.30
Bi 0.0004 0.2469 0.0008  1 Th 3.22, 2 Sm 3.24, 3 Pr 3.26-3.28
Bi 0.9996 0.7531 0.9992  1 Th 3.22, 2 Sm 3.24, 3 Pr 3.26-3.28
Bi 0.3322 0.4183 0.6643  3 Th 3.26-3.27, 3 Pr 3.28-3.29

Entry 3:
A relaxed structure of Pr2SmThBi5, computed with PBE.

## Properties
calculated formation energy = 0.007 eV/atom
DOS(E_F) = 6.88 states/eV/cell

Lattice parameters (Å, degrees): 5.7395 5.7395 12.0538 90.00 90.00 90.00
With the nearest neighbours (Å) after each atom.
Element x y z (fractional)
Pr 0.5000 0.5000 0.2767  1 Bi 3.33
Pr 0.5000 0.5000 0.7233  1 Bi 3.33
Sm 0.0000 0.0000 0.0000  2 Bi 2.95
Th 0.0000 0.0000 0.5000  6 Bi 2.87-3.08
Bi 0.0000 0.5000 0.5000  2 Th 2.87
Bi 0.5000 0.0000 0.5000  2 Th 2.87
Bi 0.0000 0.0000 0.7556  1 Sm 2.95, 1 Th 3.08
Bi 0.0000 0.0000 0.2444  1 Sm 2.95, 1 Th 3.08
Bi 0.5000 0.5000 0.0000  2 Pr 3.33

Entry 4:
A relaxed structure of PrSm2ThBi4, computed with PBE.

## Properties
calculated formation energy = -0.861 eV/atom
DOS(E_F) = 1.85 states/eV/cell

Lattice parameters (Å, degrees): 4.5959 7.9482 7.9319 109.49 90.00 90.00
With the nearest neighbours (Å) after each atom.
Element x y z (fractional)
Pr 0.0000 0.0000 0.0000  6 Bi 3.27
Sm 0.5000 0.0000 0.5000  6 Bi 3.24
Sm 0.0000 0.5000 0.5000  6 Bi 3.22
Th 0.5000 0.5000 0.0000  6 Bi 3.25-3.26
Bi 0.5000 0.2532 0.2539  3 Sm 3.22-3.24, 1 Th 3.25, 2 Pr 3.27
Bi 0.5000 0.7468 0.7461  3 Sm 3.22-3.24, 1 Th 3.25, 2 Pr 3.27
Bi 0.0000 0.2502 0.7466  3 Sm 3.22-3.24, 2 Th 3.26, 1 Pr 3.27
Bi 0.0000 0.7498 0.2534  3 Sm 3.22-3.24, 2 Th 3.26, 1 Pr 3.27

Entry 5:
A relaxed structure of PrSmTh2Bi5, computed with PBE.

## Properties
calculated formation energy = 0.088 eV/atom
DOS(E_F) = 4.85 states/eV/cell

Lattice parameters (Å, degrees): 5.4884 5.4884 11.9600 90.00 90.00 90.00
With the nearest neighbours (Å) after each atom.
Element x y z (fractional)
Pr 0.0000 0.0000 0.0000  2 Bi 2.99
Sm 0.0000 0.0000 0.5000  6 Bi 2.74-2.99
Th 0.5000 0.5000 0.3030  9 Bi 3.62-3.93
Th 0.5000 0.5000 0.6970  9 Bi 3.62-3.93
Bi 0.0000 0.5000 0.5000  2 Sm 2.74
Bi 0.5000 0.0000 0.5000  2 Sm 2.74
Bi 0.0000 0.0000 0.7498  1 Sm 2.99, 1 Pr 2.99
Bi 0.0000 0.0000 0.2502  1 Sm 2.99, 1 Pr 2.99
Bi 0.5000 0.5000 0.0000  2 Th 3.62, 4 Pr 3.88

Entry 6:
A relaxed structure of PrSmTlBi, computed with PBE.

## Properties
calculated formation energy = -0.472 eV/atom
DOS(E_F) = 4.84 states/eV/cell

Lattice parameters (Å, degrees): 5.5754 5.5754 5.5754 60.00 60.00 60.00
With the nearest neighbours (Å) after each atom.
Element x y z (fractional)
Pr 0.0000 0.0000 0.0000  4 Tl 3.41, 4 Bi 3.41
Tl 0.2500 0.2500 0.2500  4 Pr 3.41, 4 Sm 3.41
Bi 0.7500 0.7500 0.7500  4 Pr 3.41, 4 Sm 3.41
Sm 0.5000 0.5000 0.5000  4 Bi 3.41, 4 Tl 3.41

Entry 7:
A relaxed structure of Pr2SmTmBi4, computed with PBE.

## Properties
calculated formation energy = -0.901 eV/atom
DOS(E_F) = 1.20 states/eV/cell

Lattice parameters (Å, degrees): 4.5746 7.9179 7.9096 109.51 90.00 90.00
With the nearest neighbours (Å) after each atom.
Element x y z (fractional)
Pr 0.5000 0.0000 0.5000  6 Bi 3.29
Pr 0.0000 0.5000 0.5000  6 Bi 3.26
Sm 0.0000 0.0000 0.0000  6 Bi 3.21
Tm 0.5000 0.5000 0.0000  6 Bi 3.17
Bi 0.5000 0.2512 0.2418  1 Tm 3.17, 2 Sm 3.21, 3 Pr 3.26-3.29
Bi 0.5000 0.7488 0.7582  1 Tm 3.17, 2 Sm 3.21, 3 Pr 3.26-3.29
Bi 0.0000 0.2576 0.7612  2 Tm 3.17, 1 Sm 3.21, 3 Pr 3.26-3.29
Bi 0.0000 0.7424 0.2388  2 Tm 3.17, 1 Sm 3.21, 3 Pr 3.26-3.29

Entry 8:
A relaxed structure of PrSm2TmBi5, computed with PBE.

## Properties
calculated formation energy = 0.082 eV/atom
DOS(E_F) = 6.18 states/eV/cell

Lattice parameters (Å, degrees): 5.6042 5.6042 11.8886 90.00 90.00 90.00
With the nearest neighbours (Å) after each atom.
Element x y z (fractional)
Pr 0.0000 0.0000 0.5000  6 Bi 2.80-3.08
Sm 0.5000 0.5000 0.2748  1 Bi 3.27
Sm 0.5000 0.5000 0.7252  1 Bi 3.27
Tm 0.0000 0.0000 0.0000  2 Bi 2.87
Bi 0.0000 0.5000 0.5000  2 Pr 2.80
Bi 0.5000 0.0000 0.5000  2 Pr 2.80
Bi 0.0000 0.0000 0.7589  1 Tm 2.87, 1 Pr 3.08
Bi 0.0000 0.0000 0.2411  1 Tm 2.87, 1 Pr 3.08
Bi 0.5000 0.5000 0.0000  2 Sm 3.27